TaCdBr2: optimized geometry, PBE-GGA. Values from VASP.

Output
- SG: No. 35
- E_form (uncorrected): 33 meV/atom
- E: -3.996 eV per atom
- Fermi-level density of states: 0.36 states/eV/atom

Structure (Quantum ESPRESSO input):
```
&SYSTEM
  ibrav = 0, nat = 4, ntyp = 3
/
ATOMIC_SPECIES
Ta 180.95 Ta.upf
Cd 112.41 Cd.upf
Br 79.90 Br.upf
ATOMIC_POSITIONS angstrom
Ta 0.000 0.000 0.000
Cd 1.801 0.000 7.594
Br 0.000 0.000 5.606
Br 1.801 0.000 1.943
CELL_PARAMETERS angstrom
1.801 -2.776 0.000
1.801 2.776 0.000
0.000 0.000 9.924
```